1.
The following is a GGA-PBE calculation of a relaxed structure of Mg9TlIn2, from Alexandria via LeMat-Bulk.

abc: 4.497 4.497 13.547
angles: 90.00 90.00 90.00
Fractional coordinates of all 12 atoms:
Mg: 0.500 0.500 0.000
Mg: 0.500 0.500 0.335
Mg: 0.500 0.500 0.665
Mg: 0.500 0.000 0.170
Mg: 0.500 0.000 0.500
Mg: 0.500 0.000 0.830
Mg: 0.000 0.500 0.170
Mg: 0.000 0.500 0.500
Mg: 0.000 0.500 0.830
Tl: 0.000 0.000 0.000
In: 0.000 0.000 0.334
In: 0.000 0.000 0.666

Results
Spin magnetization ... 0.00 μB/f.u.
Crystal system ... tetragonal
ΔE_f ... -71 meV per atom
Total DFT energy (no corrections) ... -23.05 eV for the cell shown
V ... 22.8 Å³/atom
Fermi-level density of states ... 4.0 states/eV/f.u.

---

2.
The following is a GGA-PBE calculation of a relaxed structure of Mg2Tl3In9, from Alexandria via LeMat-Bulk.

abc: 5.198 9.053 9.053
angles: 76.60 73.32 73.32
Fractional coordinates of all 14 atoms:
Mg: 0.500 0.357 0.643
Mg: 0.500 0.643 0.357
Tl: 0.000 0.000 0.000
Tl: 0.722 0.278 0.278
Tl: 0.278 0.722 0.722
In: 0.000 0.500 0.500
In: 0.630 0.003 0.737
In: 0.370 0.997 0.263
In: 0.630 0.737 0.003
In: 0.370 0.263 0.997
In: 0.854 0.863 0.428
In: 0.146 0.137 0.572
In: 0.854 0.428 0.863
In: 0.146 0.572 0.137

Results
Spin magnetization ... 0.00 μB/f.u.
Crystal system ... orthorhombic
ΔE_f ... -1 meV per atom
Total DFT energy (no corrections) ... -34.94 eV for the cell shown
V ... 27.5 Å³/atom
Fermi-level density of states ... 5.2 states/eV/f.u.

---

3.
The following is a GGA-PBE calculation of a relaxed structure of MgTl5In2, from Alexandria via LeMat-Bulk.

abc: 6.678 6.678 6.678
angles: 110.58 110.58 107.28
Fractional coordinates of all 8 atoms:
Mg: 0.775 0.775 0.000
Tl: 0.277 0.277 0.498
Tl: 0.278 0.779 0.000
Tl: 0.779 0.277 0.000
Tl: 0.779 0.779 0.502
Tl: 0.280 0.280 0.000
In: 0.278 0.778 0.500
In: 0.778 0.278 0.500

Results
Spin magnetization ... 0.00 μB/f.u.
Crystal system ... tetragonal
ΔE_f ... 27 meV per atom
Total DFT energy (no corrections) ... -18.69 eV for the cell shown
Energy relative to the lowest polymorph listed for this composition ... 0.0025 eV per atom
V ... 28.6 Å³/atom
Fermi-level density of states ... 2.6 states/eV/f.u.

---

4.
The following is a GGA-PBE calculation of a relaxed structure of Mg5Tl8In, from Alexandria via LeMat-Bulk.

abc: 7.910 7.910 7.910
angles: 109.65 109.11 109.65
Fractional coordinates of all 14 atoms:
Mg: 0.035 0.340 0.124
Mg: 0.876 0.911 0.215
Mg: 0.785 0.660 0.695
Mg: 0.500 0.000 0.500
Mg: 0.305 0.089 0.965
Tl: 0.141 0.739 0.065
Tl: 0.935 0.077 0.674
Tl: 0.754 0.264 0.354
Tl: 0.646 0.400 0.910
Tl: 0.510 0.600 0.246
Tl: 0.598 0.923 0.859
Tl: 0.326 0.261 0.402
Tl: 0.090 0.736 0.490
In: 0.250 0.500 0.750

Results
Spin magnetization ... 0.00 μB/f.u.
Crystal system ... tetragonal
ΔE_f ... 35 meV per atom
Total DFT energy (no corrections) ... -29.15 eV for the cell shown
V ... 27.2 Å³/atom
Fermi-level density of states ... 4.8 states/eV/f.u.

---

5.
The following is a GGA-PBE calculation of a relaxed structure of MgTlIn, from Alexandria via LeMat-Bulk.

abc: 5.916 5.916 5.916
angles: 147.65 134.66 56.79
Fractional coordinates of all 3 atoms:
Tl: 0.672 0.672 0.000
Mg: 0.338 0.338 0.000
In: 0.991 0.991 0.000

Results
Spin magnetization ... 0.00 μB/f.u.
Crystal system ... orthorhombic
ΔE_f ... -11 meV per atom
Total DFT energy (no corrections) ... -6.73 eV for the cell shown
V ... 26.1 Å³/atom
Fermi-level density of states ... 1.2 states/eV/f.u.

---

6.
The following is a GGA-PBE calculation of a relaxed structure of Mg2Tl6In, from Alexandria via LeMat-Bulk.

abc: 5.635 6.753 8.188
angles: 84.19 71.82 59.08
Fractional coordinates of all 9 atoms:
Mg: 0.340 0.606 0.716
Mg: 0.660 0.394 0.284
Tl: 0.683 0.709 0.939
Tl: 0.317 0.291 0.061
Tl: 0.987 0.857 0.172
Tl: 0.345 0.925 0.395
Tl: 0.013 0.143 0.828
Tl: 0.655 0.075 0.605
In: 0.000 0.500 0.500

Results
Spin magnetization ... 0.00 μB/f.u.
Crystal system ... triclinic
ΔE_f ... 22 meV per atom
Total DFT energy (no corrections) ... -19.93 eV for the cell shown
V ... 28.1 Å³/atom
Fermi-level density of states ... 4.2 states/eV/f.u.

---

7.
The following is a GGA-PBE calculation of a relaxed structure of Mg8Tl2In3, from Alexandria via LeMat-Bulk.

abc: 5.977 5.977 11.315
angles: 74.69 74.69 60.00
Fractional coordinates of all 13 atoms:
Mg: 0.723 0.723 0.832
Mg: 0.277 0.277 0.168
Mg: 0.223 0.723 0.331
Mg: 0.723 0.223 0.331
Mg: 0.723 0.723 0.331
Mg: 0.277 0.777 0.669
Mg: 0.777 0.277 0.669
Mg: 0.277 0.277 0.669
Tl: 0.635 0.635 0.094
Tl: 0.365 0.365 0.906
In: 0.000 0.000 0.000
In: 0.812 0.812 0.564
In: 0.188 0.188 0.436

Results
Spin magnetization ... 0.00 μB/f.u.
Crystal system ... trigonal
ΔE_f ... 43 meV per atom
Total DFT energy (no corrections) ... -25.15 eV for the cell shown
Energy relative to the lowest polymorph listed for this composition ... 0.0351 eV per atom
V ... 25.6 Å³/atom
Fermi-level density of states ... 5.1 states/eV/f.u.

---

8.
The following is a GGA-PBE calculation of a relaxed structure of Mg6Tl2In, from Alexandria via LeMat-Bulk.

abc: 5.302 9.334 9.334
angles: 72.60 80.31 80.31
Fractional coordinates of all 18 atoms:
Mg: 0.471 0.677 0.441
Mg: 0.029 0.559 0.323
Mg: 0.529 0.323 0.559
Mg: 0.971 0.441 0.677
Mg: 0.634 0.104 0.341
Mg: 0.866 0.659 0.896
Mg: 0.366 0.896 0.659
Mg: 0.134 0.341 0.104
Mg: 0.302 0.779 0.009
Mg: 0.198 0.991 0.221
Mg: 0.698 0.221 0.991
Mg: 0.802 0.009 0.779
Tl: 0.418 0.531 0.804
Tl: 0.082 0.196 0.469
Tl: 0.582 0.469 0.196
Tl: 0.918 0.804 0.531
In: 0.250 0.139 0.861
In: 0.750 0.861 0.139

Results
Spin magnetization ... 0.00 μB/f.u.
Crystal system ... monoclinic
ΔE_f ... -28 meV per atom
Total DFT energy (no corrections) ... -34.58 eV for the cell shown
Energy relative to the lowest polymorph listed for this composition ... 0.0182 eV per atom
V ... 23.9 Å³/atom
Fermi-level density of states ... 3.1 states/eV/f.u.

---

9.
The following is a GGA-PBE calculation of a relaxed structure of TmMgTlIn, from Alexandria via LeMat-Bulk.

abc: 5.209 5.209 5.209
angles: 60.00 60.00 60.00
Fractional coordinates of all 4 atoms:
Tl: 0.000 0.000 0.000
Tm: 0.250 0.250 0.250
Mg: 0.750 0.750 0.750
In: 0.500 0.500 0.500

Results
Spin magnetization ... 0.00 μB/f.u.
Crystal system ... cubic
ΔE_f ... -209 meV per atom
Total DFT energy (no corrections) ... -12.01 eV for the cell shown
Energy relative to the lowest polymorph listed for this composition ... 0.0720 eV per atom
V ... 25.0 Å³/atom
Fermi-level density of states ... 1.7 states/eV/f.u.

---

10.
The following is a GGA-PBE calculation of a relaxed structure of TmMgTlIn, from Alexandria via LeMat-Bulk.

abc: 4.209 4.833 4.844
angles: 90.00 90.00 90.00
Fractional coordinates of all 4 atoms:
Tm: 0.000 0.500 0.500
Mg: 0.000 0.000 0.000
Tl: 0.500 0.000 0.500
In: 0.500 0.500 0.000

Results
Spin magnetization ... 0.00 μB/f.u.
Crystal system ... orthorhombic
ΔE_f ... -281 meV per atom
Total DFT energy (no corrections) ... -12.29 eV for the cell shown
Energy relative to the lowest polymorph listed for this composition ... 0.0000 eV per atom
V ... 24.6 Å³/atom
Fermi-level density of states ... 1.5 states/eV/f.u.

---

11.
The following is a GGA-PBE calculation of a relaxed structure of MgTlVIn2, from Alexandria via LeMat-Bulk.

abc: 5.222 5.255 5.222
angles: 90.00 90.00 90.00
Fractional coordinates of all 5 atoms:
Tl: 0.000 0.500 0.000
V: 0.000 0.000 0.000
Mg: 0.500 0.500 0.500
In: 0.000 0.000 0.500
In: 0.500 0.000 0.000

Results
Spin magnetization ... 0.20 μB/f.u.
Crystal system ... tetragonal
ΔE_f ... 544 meV per atom
Total DFT energy (no corrections) ... -15.83 eV for the cell shown
V ... 28.7 Å³/atom
Fermi-level density of states ... 4.3 states/eV/f.u.

---

12.
The following is a GGA-PBE calculation of a relaxed structure of MgTlZn2In, from Alexandria via LeMat-Bulk.

abc: 5.199 5.908 5.199
angles: 90.00 90.00 90.00
Fractional coordinates of all 5 atoms:
Mg: 0.500 0.500 0.500
Tl: 0.000 0.000 0.000
Zn: 0.000 0.000 0.500
Zn: 0.500 0.000 0.000
In: 0.000 0.500 0.000

Results
Spin magnetization ... 0.00 μB/f.u.
Crystal system ... tetragonal
ΔE_f ... 536 meV per atom
Total DFT energy (no corrections) ... -6.57 eV for the cell shown
V ... 31.9 Å³/atom
Fermi-level density of states ... 2.4 states/eV/f.u.

---

What did the eighth record say?
The following is a GGA-PBE calculation of a relaxed structure of Mg6Tl2In, from Alexandria via LeMat-Bulk.

abc: 5.302 9.334 9.334
angles: 72.60 80.31 80.31
Fractional coordinates of all 18 atoms:
Mg: 0.471 0.677 0.441
Mg: 0.029 0.559 0.323
Mg: 0.529 0.323 0.559
Mg: 0.971 0.441 0.677
Mg: 0.634 0.104 0.341
Mg: 0.866 0.659 0.896
Mg: 0.366 0.896 0.659
Mg: 0.134 0.341 0.104
Mg: 0.302 0.779 0.009
Mg: 0.198 0.991 0.221
Mg: 0.698 0.221 0.991
Mg: 0.802 0.009 0.779
Tl: 0.418 0.531 0.804
Tl: 0.082 0.196 0.469
Tl: 0.582 0.469 0.196
Tl: 0.918 0.804 0.531
In: 0.250 0.139 0.861
In: 0.750 0.861 0.139

Results
Spin magnetization ... 0.00 μB/f.u.
Crystal system ... monoclinic
ΔE_f ... -28 meV per atom
Total DFT energy (no corrections) ... -34.58 eV for the cell shown
Energy relative to the lowest polymorph listed for this composition ... 0.0182 eV per atom
V ... 23.9 Å³/atom
Fermi-level density of states ... 3.1 states/eV/f.u.

---

The lowest V belongs to which entry? Mg9TlIn2